# Ca2ScW

An optimized crystal structure of Ca2ScW (GGA-PBE, Alexandria via LeMat-Bulk).

Cell lengths 5.8127, 5.8127, 5.6997 Å; angles 97.91, 97.91, 31.05 degrees
Closest atoms and distances in Å follow each position.
Fractional coordinates of all 4 atoms:
Ca (0.2362, 0.2362, 0.2328)  6 Ca 3.11-3.39, 3 W 3.19-3.41, 1 Sc 3.24
Ca (0.7638, 0.7638, 0.7672)  6 Ca 3.11-3.39, 3 W 3.19-3.41, 1 Sc 3.24
Sc (0.0000, 0.0000, 0.5000)  2 Sc 3.11, 2 Ca 3.24, 4 W 3.25
W (0.5000, 0.5000, 0.0000)  2 W 3.11, 6 Ca 3.19-3.41, 4 Sc 3.25

Calculated values
For the polymorph energy (0 for the lowest one), the calculation gives 6.01 kcal/mol of atoms.

***

# CaScW2

An optimized crystal structure of CaScW2 (GGA-PBE, Alexandria via LeMat-Bulk).

Cell lengths 2.9584, 2.9584, 10.1218 Å; angles 90.00, 90.00, 110.85 degrees
Closest atoms and distances in Å follow each position.
Fractional coordinates of all 4 atoms:
Ca (0.0000, 0.0000, 0.0000)  4 Ca 2.96, 2 W 3.11
Sc (0.5000, 0.5000, 0.3148)  2 W 2.86, 4 Sc 2.96
W (0.0000, 0.0000, 0.5436)  2 W 2.61, 2 Sc 2.86
W (0.5000, 0.5000, 0.7414)  2 W 2.61

Calculated values
For the polymorph energy (0 for the lowest one), the calculation gives 3.46 kcal/mol of atoms.

***

# CaSc2W

An optimized crystal structure of CaSc2W (GGA-PBE, Alexandria via LeMat-Bulk).

Cell lengths 10.6901, 10.6901, 10.6901 Å; angles 17.58, 17.58, 17.58 degrees
Closest atoms and distances in Å follow each position.
Fractional coordinates of all 4 atoms:
Ca (0.0000, 0.0000, 0.0000)  6 Ca 3.27, 6 Sc 3.66
Sc (0.2341, 0.2341, 0.2341)  3 W 2.84
Sc (0.7659, 0.7659, 0.7659)  3 W 2.84
W (0.5000, 0.5000, 0.5000)  6 Sc 2.84

Calculated values
For the polymorph energy (0 for the lowest one), the calculation gives 4.01 kcal/mol of atoms.

***

# CaScW2

An optimized crystal structure of CaScW2 (GGA-PBE, Alexandria via LeMat-Bulk).

Cell lengths 3.6700, 3.6700, 6.5593 Å; angles 90.00, 90.00, 90.00 degrees
Closest atoms and distances in Å follow each position.
Fractional coordinates of all 4 atoms:
Ca (0.0000, 0.0000, 0.0000)  2 Sc 3.28, 8 W 3.33, 4 Ca 3.67
Sc (0.0000, 0.0000, 0.5000)  8 W 2.86
W (0.5000, 0.5000, 0.3181)  1 W 2.39
W (0.5000, 0.5000, 0.6819)  1 W 2.39

Calculated values
For the polymorph energy (0 for the lowest one), the calculation gives 10.16 kcal/mol of atoms.

***

# Ca2ScW

An optimized crystal structure of Ca2ScW (GGA-PBE, Alexandria via LeMat-Bulk).

Cell lengths 5.2672, 5.2672, 5.2672 Å; angles 60.00, 60.00, 60.00 degrees
Closest atoms and distances in Å follow each position.
Fractional coordinates of all 4 atoms:
Ca (0.2500, 0.2500, 0.2500)  4 W 3.23, 4 Sc 3.23
Ca (0.7500, 0.7500, 0.7500)  4 W 3.23, 4 Sc 3.23
Sc (0.0000, 0.0000, 0.0000)  8 Ca 3.23
W (0.5000, 0.5000, 0.5000)  8 Ca 3.23

Calculated values
For the polymorph energy (0 for the lowest one), the calculation gives 10.21 kcal/mol of atoms.

***

# CaScW

An optimized crystal structure of CaScW (GGA-PBE, Alexandria via LeMat-Bulk).

Cell lengths 5.1446, 5.1446, 2.7693 Å; angles 90.00, 90.00, 120.00 degrees
Closest atoms and distances in Å follow each position.
Fractional coordinates of all 3 atoms:
Ca (0.0000, 0.0000, 0.0000)  2 Ca 2.77, 3 Sc 2.97
Sc (0.6667, 0.3333, 0.0000)  2 Sc 2.77, 3 Ca 2.97
W (0.3333, 0.6667, 0.5000)  2 W 2.77

Calculated values
For the polymorph energy (0 for the lowest one), the calculation gives 2.56 kcal/mol of atoms.

***

# CaSc2W

An optimized crystal structure of CaSc2W (GGA-PBE, Alexandria via LeMat-Bulk).

Cell lengths 5.5010, 5.5010, 3.0829 Å; angles 90.00, 90.00, 107.76 degrees
Closest atoms and distances in Å follow each position.
Fractional coordinates of all 4 atoms:
Ca (0.0000, 0.0000, 0.0000)  2 Ca 3.08, 8 Sc 3.15, 2 W 3.24
Sc (0.0000, 0.5000, 0.5000)  4 Sc 3.08-3.24, 4 W 3.15, 4 Ca 3.15
Sc (0.5000, 0.0000, 0.5000)  4 Sc 3.08-3.24, 4 W 3.15, 4 Ca 3.15
W (0.5000, 0.5000, 0.0000)  2 W 3.08, 8 Sc 3.15, 2 Ca 3.24

Calculated values
For the polymorph energy (0 for the lowest one), the calculation gives 6.78 kcal/mol of atoms.

***

# Ca2ScW

An optimized crystal structure of Ca2ScW (GGA-PBE, Alexandria via LeMat-Bulk).

Cell lengths 4.4559, 4.4559, 4.9728 Å; angles 90.00, 90.00, 90.00 degrees
Closest atoms and distances in Å follow each position.
Fractional coordinates of all 4 atoms:
Ca (0.0000, 0.5000, 0.0000)  4 Ca 3.15, 4 W 3.34, 4 Sc 3.34
Ca (0.5000, 0.0000, 0.0000)  4 Ca 3.15, 4 W 3.34, 4 Sc 3.34
Sc (0.0000, 0.0000, 0.5000)  4 W 3.15, 8 Ca 3.34
W (0.5000, 0.5000, 0.5000)  4 Sc 3.15, 8 Ca 3.34

Calculated values
For the polymorph energy (0 for the lowest one), the calculation gives 7.24 kcal/mol of atoms.

***

# CaScW3

An optimized crystal structure of CaScW3 (GGA-PBE, Alexandria via LeMat-Bulk).

Cell lengths 4.7821, 4.7821, 4.7821 Å; angles 90.00, 90.00, 90.00 degrees
Closest atoms and distances in Å follow each position.
Fractional coordinates of all 5 atoms:
Ca (0.0000, 0.0000, 0.0000)  12 W 3.38
Sc (0.5000, 0.5000, 0.5000)  6 W 2.39
W (0.0000, 0.5000, 0.5000)  2 Sc 2.39
W (0.5000, 0.0000, 0.5000)  2 Sc 2.39
W (0.5000, 0.5000, 0.0000)  2 Sc 2.39

Calculated values
For the polymorph energy (0 for the lowest one), the calculation gives 0.00 kcal/mol of atoms.

***

# CaSc2W

An optimized crystal structure of CaSc2W (GGA-PBE, Alexandria via LeMat-Bulk).

Cell lengths 5.1908, 5.1908, 6.4238 Å; angles 92.65, 92.65, 33.79 degrees
Closest atoms and distances in Å follow each position.
Fractional coordinates of all 4 atoms:
Ca (0.0000, 0.0000, 0.0000)  2 Ca 3.02, 1 W 3.17, 3 Sc 3.24-3.25
Sc (0.2406, 0.2406, 0.6770)  2 W 2.87, 5 Sc 2.97-3.18
Sc (0.4930, 0.4930, 0.4482)  3 W 2.81-2.93, 3 Sc 2.97-3.02
W (0.7545, 0.7545, 0.2986)  5 Sc 2.81-2.93, 2 W 3.02

Calculated values
For the polymorph energy (0 for the lowest one), the calculation gives 4.43 kcal/mol of atoms.

***

# CaScW2

An optimized crystal structure of CaScW2 (GGA-PBE, Alexandria via LeMat-Bulk).

Cell lengths 6.2093, 6.2093, 6.2093 Å; angles 101.01, 101.01, 128.17 degrees
Closest atoms and distances in Å follow each position.
Fractional coordinates of all 8 atoms:
Ca (0.0000, 0.0000, 0.0000)  2 Sc 2.71, 4 W 2.96
Ca (0.7500, 0.2500, 0.5000)  2 Sc 2.71, 4 W 2.96
Sc (0.2500, 0.7500, 0.5000)  2 Ca 2.71, 4 W 2.79
Sc (0.5000, 0.5000, 0.0000)  2 Ca 2.71, 4 W 2.79
W (0.1403, 0.1250, 0.5153)  2 W 2.72, 2 Sc 2.79, 2 Ca 2.96
W (0.3750, 0.8597, 0.9847)  2 W 2.72, 2 Sc 2.79, 2 Ca 2.96
W (0.6097, 0.6250, 0.4847)  2 W 2.72, 2 Sc 2.79, 2 Ca 2.96
W (0.8750, 0.3903, 0.0153)  2 W 2.72, 2 Sc 2.79, 2 Ca 2.96

Calculated values
For the polymorph energy (0 for the lowest one), the calculation gives 23.89 kcal/mol of atoms.

***

# CaScW2

An optimized crystal structure of CaScW2 (GGA-PBE, Alexandria via LeMat-Bulk).

Cell lengths 2.7929, 2.7929, 9.9973 Å; angles 90.00, 90.00, 90.00 degrees
Closest atoms and distances in Å follow each position.
Fractional coordinates of all 4 atoms:
Ca (0.0000, 0.0000, 0.0000)  4 Ca 2.79
Sc (0.0000, 0.0000, 0.5000)  4 Sc 2.79, 8 W 3.06
W (0.5000, 0.5000, 0.2657)  4 W 2.79, 4 Sc 3.06
W (0.5000, 0.5000, 0.7343)  4 W 2.79, 4 Sc 3.06

Calculated values
For the polymorph energy (0 for the lowest one), the calculation gives 6.80 kcal/mol of atoms.

***

# CaSc2W

An optimized crystal structure of CaSc2W (GGA-PBE, Alexandria via LeMat-Bulk).

Cell lengths 5.0213, 5.0213, 5.0213 Å; angles 60.00, 60.00, 60.00 degrees
Closest atoms and distances in Å follow each position.
Fractional coordinates of all 4 atoms:
Ca (0.0000, 0.0000, 0.0000)  4 W 3.07, 4 Sc 3.07
Sc (0.2500, 0.2500, 0.2500)  4 Ca 3.07, 4 Sc 3.07
Sc (0.5000, 0.5000, 0.5000)  4 W 3.07, 4 Sc 3.07
W (0.7500, 0.7500, 0.7500)  4 Sc 3.07, 4 Ca 3.07

Calculated values
For the polymorph energy (0 for the lowest one), the calculation gives 9.14 kcal/mol of atoms.

***

# Ca2ScW

An optimized crystal structure of Ca2ScW (GGA-PBE, Alexandria via LeMat-Bulk).

Cell lengths 5.1855, 5.1855, 5.1855 Å; angles 60.00, 60.00, 60.00 degrees
Closest atoms and distances in Å follow each position.
Fractional coordinates of all 4 atoms:
Ca (0.0000, 0.0000, 0.0000)  4 Sc 3.18, 4 Ca 3.18
Ca (0.2500, 0.2500, 0.2500)  4 W 3.18, 4 Ca 3.18
Sc (0.7500, 0.7500, 0.7500)  4 W 3.18, 4 Ca 3.18
W (0.5000, 0.5000, 0.5000)  4 Ca 3.18, 4 Sc 3.18

Calculated values
For the polymorph energy (0 for the lowest one), the calculation gives 6.30 kcal/mol of atoms.

***

# CaSc2W

An optimized crystal structure of CaSc2W (GGA-PBE, Alexandria via LeMat-Bulk).

Cell lengths 5.5152, 5.5152, 5.5152 Å; angles 132.53, 132.36, 69.53 degrees
Closest atoms and distances in Å follow each position.
Fractional coordinates of all 4 atoms:
Ca (0.0000, 0.0000, 0.0000)  8 Sc 3.14-3.18, 4 W 3.17
Sc (0.2505, 0.7505, 0.5000)  4 W 3.14, 4 Ca 3.17-3.18, 4 Sc 3.17
Sc (0.5009, 0.5009, 0.0000)  4 Ca 3.14, 4 W 3.16-3.19, 4 Sc 3.17
W (0.7496, 0.2496, 0.5000)  8 Sc 3.14-3.19, 4 Ca 3.17

Calculated values
For the polymorph energy (0 for the lowest one), the calculation gives 6.40 kcal/mol of atoms.

***

# CaSc2W

An optimized crystal structure of CaSc2W (GGA-PBE, Alexandria via LeMat-Bulk).

Cell lengths 3.0144, 3.0144, 10.3514 Å; angles 90.00, 90.00, 102.02 degrees
Closest atoms and distances in Å follow each position.
Fractional coordinates of all 4 atoms:
Ca (0.0000, 0.0000, 0.0000)  4 Ca 3.01, 2 W 3.13
Sc (0.0000, 0.0000, 0.5564)  4 W 2.83-3.15, 4 Sc 3.01
Sc (0.5000, 0.5000, 0.2968)  6 Sc 3.01-3.29
W (0.5000, 0.5000, 0.7595)  4 Sc 2.83-3.15, 4 W 3.01, 2 Ca 3.13

Calculated values
For the polymorph energy (0 for the lowest one), the calculation gives 4.60 kcal/mol of atoms.

***

# Ca2ScW

An optimized crystal structure of Ca2ScW (GGA-PBE, Alexandria via LeMat-Bulk).

Cell lengths 3.2335, 3.2335, 10.3328 Å; angles 90.00, 90.00, 90.00 degrees
Closest atoms and distances in Å follow each position.
Fractional coordinates of all 4 atoms:
Ca (0.0000, 0.0000, 0.0000)  4 W 3.19, 4 Ca 3.23
Ca (0.5000, 0.5000, 0.3227)  4 Ca 3.23
Sc (0.0000, 0.0000, 0.6145)  4 W 2.88
W (0.5000, 0.5000, 0.7845)  4 Sc 2.88, 4 Ca 3.19

Calculated values
For the polymorph energy (0 for the lowest one), the calculation gives 1.16 kcal/mol of atoms.

***

# CaSc2W

An optimized crystal structure of CaSc2W (GGA-PBE, Alexandria via LeMat-Bulk).

Cell lengths 3.0206, 4.9468, 6.3452 Å; angles 90.00, 92.29, 90.00 degrees
Closest atoms and distances in Å follow each position.
Fractional coordinates of all 4 atoms:
Ca (0.0000, 0.0000, 0.0000)  2 Ca 3.02, 2 W 3.19, 2 Sc 3.22-3.30
Sc (0.4878, 0.0000, 0.5443)  4 Sc 2.94-3.02, 4 W 2.95-3.11, 1 Ca 3.22
Sc (0.5464, 0.5000, 0.2971)  2 W 2.83-2.92, 4 Sc 2.94-3.02
W (0.0508, 0.5000, 0.6834)  6 Sc 2.83-3.11, 2 W 3.02

Calculated values
For the polymorph energy (0 for the lowest one), the calculation gives 4.41 kcal/mol of atoms.

***

# CaScW2

An optimized crystal structure of CaScW2 (GGA-PBE, Alexandria via LeMat-Bulk).

Cell lengths 5.6969, 5.6969, 2.7945 Å; angles 90.00, 90.00, 121.03 degrees
Closest atoms and distances in Å follow each position.
Fractional coordinates of all 4 atoms:
Ca (0.0000, 0.0000, 0.0000)  2 Ca 2.79, 2 Sc 2.80
Sc (0.5000, 0.5000, 0.0000)  2 Sc 2.79, 2 Ca 2.80
W (0.0000, 0.5000, 0.5000)  4 W 2.79-2.80
W (0.5000, 0.0000, 0.5000)  4 W 2.79-2.80

Calculated values
For the polymorph energy (0 for the lowest one), the calculation gives 8.11 kcal/mol of atoms.

***

# Ca2ScW

An optimized crystal structure of Ca2ScW (GGA-PBE, Alexandria via LeMat-Bulk).

Cell lengths 3.0436, 3.0436, 10.8652 Å; angles 90.00, 90.00, 98.92 degrees
Closest atoms and distances in Å follow each position.
Fractional coordinates of all 4 atoms:
Ca (0.0000, 0.0000, 0.2216)  4 Ca 3.04, 4 W 3.12-3.34
Ca (0.0000, 0.0000, 0.7784)  4 Ca 3.04, 4 W 3.12-3.34
Sc (0.5000, 0.5000, 0.5000)  4 Sc 3.04
W (0.5000, 0.5000, 0.0000)  4 W 3.04, 8 Ca 3.12-3.34

Calculated values
For the polymorph energy (0 for the lowest one), the calculation gives 5.55 kcal/mol of atoms.